Record 1
LiPmMgPt | PBE | optimized geometry

Unit cell a=6.8784 b=6.8784 c=6.8784 alpha=90.00 beta=90.00 gamma=90.00
Last column: nearest neighbours and their distance in Å.
Space group F-43m (No. 216)
Unique sites:
Li: 0.0000 0.0000 0.0000 x4  4 Mg 2.98, 4 Pm 2.98
Pm: 0.2500 0.2500 0.7500 x4  4 Li 2.98, 4 Pt 2.98
Mg: 0.2500 0.2500 0.2500 x4  4 Li 2.98, 4 Pt 2.98
Pt: 0.0000 0.0000 0.5000 x4  4 Mg 2.98, 4 Pm 2.98

The formation energy comes out at -0.608 eV per atom. As for the final energy: -4.1831 eV per atom.


Record 2
Rb2Cd2InAg | PBE | optimized geometry

Unit cell a=7.3941 b=16.6578 c=7.1935 alpha=90.00 beta=90.00 gamma=90.00
Last column: nearest neighbours and their distance in Å.
Space group Ibam (No. 72)
Unique sites:
Rb: 0.2419 0.1688 0.0000 x8  2 Ag 3.79, 5 Cd 3.79-4.09, 2 In 3.85
Cd: 0.2370 0.0868 0.5000 x8  2 Ag 2.90, 2 In 3.02
In: 0.0000 0.5000 0.2500 x4  4 Cd 3.02
Ag: 0.0000 0.0000 0.2500 x4  4 Cd 2.90

The formation energy comes out at -0.024 eV per atom. As for the final energy: -1.5828 eV per atom.


Record 3
AsPIr2W | PBE | optimized geometry

Unit cell a=4.5276 b=4.5276 c=4.7008 alpha=90.00 beta=90.00 gamma=90.00
Last column: nearest neighbours and their distance in Å.
Space group P4/mmm (No. 123)
Unique sites:
As: 0.0000 0.0000 0.0000 x1  4 Ir 2.26, 2 W 2.35
P: 0.5000 0.5000 0.5000 x1  4 W 3.20, 8 Ir 3.26
Ir: 0.0000 0.5000 0.0000 x2  2 As 2.26
W: 0.0000 0.0000 0.5000 x1  2 As 2.35

The formation energy comes out at 1.537 eV per atom. As for the final energy: -6.6097 eV per atom.


Record 4
KTcIr2 | PBE | optimized geometry

Unit cell a=2.7188 b=4.2662 c=7.2747 alpha=90.00 beta=94.94 gamma=90.00
Last column: nearest neighbours and their distance in Å.
Space group Pm (No. 6)
Unique sites:
K: 0.0000 0.0000 0.0000 x1  2 K 2.72
Tc: 0.8536 0.5000 0.3726 x1  6 Ir 2.63-2.65, 2 Tc 2.72
Ir: 0.3813 0.0000 0.4767 x1  4 Ir 2.62-2.72, 4 Tc 2.63-2.64
Ir: 0.4277 0.5000 0.6858 x1  4 Ir 2.62-2.72, 2 Tc 2.64-2.65

The formation energy comes out at 0.702 eV per atom. As for the final energy: -6.5945 eV per atom.


Number 2 is which compound? Rb2Cd2InAg


Look up the formation energy of the second one. -0.024 eV per atom


What is the final energy in the second record? -1.5828 eV per atom


Which value of final energy does entry 3 give? -6.6097 eV per atom